Record 1
## MgZn2CdO4 (GGA-PBE)

Data for MgZn2CdO4 after structural relaxation.

Cell lengths 4.7837, 4.7837, 9.3567 Å; angles 90.00, 90.00, 90.00 degrees
Fractional coordinates of all 16 atoms:
Mg  0.0000  0.0000  0.0000
Mg  0.5000  0.5000  0.5000
Zn  0.0000  0.5000  0.2500
Zn  0.0000  0.5000  0.7500
Zn  0.5000  0.0000  0.2500
Zn  0.5000  0.0000  0.7500
Cd  0.0000  0.0000  0.5000
Cd  0.5000  0.5000  0.0000
O  0.2290  0.2290  0.8671
O  0.2290  0.7710  0.1329
O  0.2710  0.2710  0.3671
O  0.2710  0.7290  0.6329
O  0.7290  0.2710  0.6329
O  0.7290  0.7290  0.3671
O  0.7710  0.2290  0.1329
O  0.7710  0.7710  0.8671

Results
Volume in Å³ per atom: 13.4
Spin magnetization in Bohr magnetons per cell: 0.000
ΔE_f (raw) in eV/atom: -1.61
Uncorrected energy in eV per atom: -4.719

Record 2
## Mg14ZnCdO16 (GGA-PBE)

Data for Mg14ZnCdO16 after structural relaxation.

Cell lengths 8.6099, 8.6099, 4.3138 Å; angles 90.00, 90.00, 90.00 degrees
Fractional coordinates of all 32 atoms:
Mg  0.0000  0.2494  0.0000
Mg  0.0000  0.5000  0.5000
Mg  0.0000  0.7506  0.0000
Mg  0.2446  0.5000  0.0000
Mg  0.2475  0.2475  0.5000
Mg  0.2475  0.7525  0.5000
Mg  0.2494  0.0000  0.0000
Mg  0.5000  0.0000  0.5000
Mg  0.5000  0.2446  0.0000
Mg  0.5000  0.7554  0.0000
Mg  0.7506  0.0000  0.0000
Mg  0.7525  0.2475  0.5000
Mg  0.7525  0.7525  0.5000
Mg  0.7554  0.5000  0.0000
Zn  0.0000  0.0000  0.5000
Cd  0.5000  0.5000  0.5000
O  0.0000  0.0000  0.0000
O  0.0000  0.2510  0.5000
O  0.0000  0.5000  0.0000
O  0.0000  0.7490  0.5000
O  0.2347  0.5000  0.5000
O  0.2501  0.2501  0.0000
O  0.2501  0.7499  0.0000
O  0.2510  0.0000  0.5000
O  0.5000  0.0000  0.0000
O  0.5000  0.2347  0.5000
O  0.5000  0.5000  0.0000
O  0.5000  0.7653  0.5000
O  0.7490  0.0000  0.5000
O  0.7499  0.2501  0.0000
O  0.7499  0.7499  0.0000
O  0.7653  0.5000  0.5000

Results
Volume in Å³ per atom: 10.0
Spin magnetization in Bohr magnetons per cell: 0.000
ΔE_f (raw) in eV/atom: -2.49
Uncorrected energy in eV per atom: -5.731
Density of states at the Fermi level in states/eV/atom: 0.000

Record 3
## MgCdOs2 (GGA-PBE)

Data for MgCdOs2 after structural relaxation.

Cell lengths 2.9505, 4.6567, 9.4228 Å; angles 90.00, 90.00, 90.00 degrees
Fractional coordinates of all 8 atoms:
Mg  0.0000  0.0000  0.0000
Mg  0.5000  0.5000  0.0000
Cd  0.0000  0.0000  0.5000
Cd  0.5000  0.5000  0.5000
Os  0.0000  0.5000  0.2395
Os  0.0000  0.5000  0.7605
Os  0.5000  0.0000  0.2395
Os  0.5000  0.0000  0.7605

Results
Volume in Å³ per atom: 16.2
Spin magnetization in Bohr magnetons per cell: 0.002
Energy relative to the elements in eV per atom: 0.52
Uncorrected energy in eV per atom: -5.725
Energy relative to the lowest polymorph listed for this composition in meV/atom: 399
Density of states at the Fermi level in states/eV/atom: 0.952

Record 4
## MgCdOs2 (GGA-PBE)

Data for MgCdOs2 after structural relaxation.

Cell lengths 2.8898, 4.7493, 9.9626 Å; angles 90.00, 90.00, 90.00 degrees
Fractional coordinates of all 8 atoms:
Mg  0.0000  0.0000  0.0000
Mg  0.5000  0.5000  0.5000
Cd  0.0000  0.5000  0.2121
Cd  0.5000  0.0000  0.7121
Os  0.0000  0.0000  0.4586
Os  0.0000  0.5000  0.7510
Os  0.5000  0.0000  0.2510
Os  0.5000  0.5000  0.9586

Results
Volume in Å³ per atom: 17.1
Spin magnetization in Bohr magnetons per cell: 0.000
Energy relative to the elements in eV per atom: 0.46
Uncorrected energy in eV per atom: -5.783
Energy relative to the lowest polymorph listed for this composition in meV/atom: 341
Density of states at the Fermi level in states/eV/atom: 0.699

Record 5
## MgCd2Os (GGA-PBE)

Data for MgCd2Os after structural relaxation.

Cell lengths 2.8063, 4.9162, 5.3007 Å; angles 90.00, 96.55, 90.00 degrees
Fractional coordinates of all 4 atoms:
Mg  0.0000  0.0000  0.0000
Cd  0.2556  0.5000  0.7443
Cd  0.7444  0.5000  0.2557
Os  0.5000  0.0000  0.5000

Results
Volume in Å³ per atom: 18.2
Spin magnetization in Bohr magnetons per cell: 0.000
Energy relative to the elements in eV per atom: 0.34
Uncorrected energy in eV per atom: -3.325
Density of states at the Fermi level in states/eV/atom: 0.256

Record 6
## MgCdOs2 (GGA-PBE)

Data for MgCdOs2 after structural relaxation.

Cell lengths 2.9907, 4.5926, 9.3846 Å; angles 90.00, 90.00, 90.00 degrees
Fractional coordinates of all 8 atoms:
Mg  0.0000  0.0000  0.0000
Mg  0.5000  0.5000  0.5000
Cd  0.0000  0.0000  0.5000
Cd  0.5000  0.5000  0.0000
Os  0.0000  0.5000  0.2541
Os  0.0000  0.5000  0.7459
Os  0.5000  0.0000  0.2459
Os  0.5000  0.0000  0.7541

Results
Volume in Å³ per atom: 16.1
Spin magnetization in Bohr magnetons per cell: 0.001
Energy relative to the elements in eV per atom: 0.49
Uncorrected energy in eV per atom: -5.753
Energy relative to the lowest polymorph listed for this composition in meV/atom: 371
Density of states at the Fermi level in states/eV/atom: 0.936

Record 7
## MgCd2Os (GGA-PBE)

Data for MgCd2Os after structural relaxation.

Cell lengths 3.4601, 4.5386, 9.2425 Å; angles 90.00, 90.00, 90.00 degrees
Fractional coordinates of all 8 atoms:
Mg  0.0000  0.0000  0.0000
Mg  0.5000  0.5000  0.5000
Cd  0.0000  0.0000  0.4754
Cd  0.0000  0.5000  0.2352
Cd  0.5000  0.0000  0.7352
Cd  0.5000  0.5000  0.9754
Os  0.0000  0.5000  0.7309
Os  0.5000  0.0000  0.2309

Results
Volume in Å³ per atom: 18.1
Spin magnetization in Bohr magnetons per cell: 0.000
Energy relative to the elements in eV per atom: 0.33
Uncorrected energy in eV per atom: -3.330
Density of states at the Fermi level in states/eV/atom: 0.677

Record 8
## MgCdOs2 (GGA-PBE)

Data for MgCdOs2 after structural relaxation.

Cell lengths 3.8456, 3.8456, 4.3919 Å; angles 90.00, 90.00, 90.00 degrees
Fractional coordinates of all 4 atoms:
Mg  0.0000  0.0000  0.0000
Cd  0.5000  0.5000  0.0000
Os  0.0000  0.5000  0.5000
Os  0.5000  0.0000  0.5000

Results
Volume in Å³ per atom: 16.2
Spin magnetization in Bohr magnetons per cell: 0.000
Energy relative to the elements in eV per atom: 0.55
Uncorrected energy in eV per atom: -5.693
Energy relative to the lowest polymorph listed for this composition in meV/atom: 431
Density of states at the Fermi level in states/eV/atom: 1.034

Record 9
## MgCdOs2 (GGA-PBE)

Data for MgCdOs2 after structural relaxation.

Cell lengths 3.3445, 3.3445, 5.9361 Å; angles 90.00, 90.00, 90.00 degrees
Fractional coordinates of all 4 atoms:
Mg  0.0000  0.0000  0.0000
Cd  0.0000  0.0000  0.5000
Os  0.5000  0.5000  0.2090
Os  0.5000  0.5000  0.7910

Results
Volume in Å³ per atom: 16.6
Spin magnetization in Bohr magnetons per cell: 0.000
Energy relative to the elements in eV per atom: 0.73
Uncorrected energy in eV per atom: -5.515
Energy relative to the lowest polymorph listed for this composition in meV/atom: 609
Density of states at the Fermi level in states/eV/atom: 0.999

Record 10
## Mg2CdOs (GGA-PBE)

Data for Mg2CdOs after structural relaxation.

Cell lengths 4.0006, 4.0006, 8.7242 Å; angles 90.00, 90.00, 90.00 degrees
Fractional coordinates of all 8 atoms:
Mg  0.0000  0.0000  0.0000
Mg  0.0000  0.5000  0.2500
Mg  0.5000  0.0000  0.7500
Mg  0.5000  0.5000  0.5000
Cd  0.0000  0.0000  0.5000
Cd  0.5000  0.5000  0.0000
Os  0.0000  0.5000  0.7500
Os  0.5000  0.0000  0.2500

Results
Volume in Å³ per atom: 17.5
Spin magnetization in Bohr magnetons per cell: 0.599
Energy relative to the elements in eV per atom: 0.21
Uncorrected energy in eV per atom: -3.628
Density of states at the Fermi level in states/eV/atom: 0.451

Record 11
## Mg2CdOs (GGA-PBE)

Data for Mg2CdOs after structural relaxation.

Cell lengths 3.0902, 4.8755, 9.8008 Å; angles 90.00, 90.00, 90.00 degrees
Fractional coordinates of all 8 atoms:
Mg  0.0000  0.0000  0.0000
Mg  0.0000  0.5000  0.2711
Mg  0.5000  0.0000  0.2711
Mg  0.5000  0.5000  0.0000
Cd  0.0000  0.0000  0.5372
Cd  0.5000  0.5000  0.5372
Os  0.0000  0.5000  0.7809
Os  0.5000  0.0000  0.7809

Results
Volume in Å³ per atom: 18.5
Spin magnetization in Bohr magnetons per cell: 0.460
Energy relative to the elements in eV per atom: 0.35
Uncorrected energy in eV per atom: -3.483
Density of states at the Fermi level in states/eV/atom: 0.807

Record 12
## MgCd2Os (GGA-PBE)

Data for MgCd2Os after structural relaxation.

Cell lengths 2.9635, 2.9635, 29.3413 Å; angles 90.00, 90.00, 120.00 degrees
Fractional coordinates of all 12 atoms:
Mg  0.0000  0.0000  0.0000
Mg  0.3333  0.6667  0.6667
Mg  0.6667  0.3333  0.3333
Cd  0.0000  0.0000  0.2458
Cd  0.0000  0.0000  0.7542
Cd  0.3333  0.6667  0.4209
Cd  0.3333  0.6667  0.9125
Cd  0.6667  0.3333  0.0875
Cd  0.6667  0.3333  0.5791
Os  0.0000  0.0000  0.5000
Os  0.3333  0.6667  0.1667
Os  0.6667  0.3333  0.8333

Results
Volume in Å³ per atom: 18.6
Spin magnetization in Bohr magnetons per cell: 0.000
Energy relative to the elements in eV per atom: 0.41
Uncorrected energy in eV per atom: -3.254
Density of states at the Fermi level in states/eV/atom: 0.919